No. 1
The following is a DFT calculation (PBE-GGA) of a relaxed structure of Ce2Dy3Hg7.

abc: 12.1690 12.1690 5.3560
angles: 90.00 90.00 155.10
Fractional coordinates of all 12 atoms:
Ce 0.1457 0.8543 0.0000
Ce 0.8543 0.1457 0.0000
Dy 0.3394 0.6606 0.5000
Dy 0.5000 0.5000 0.5000
Dy 0.6606 0.3394 0.5000
Hg 0.0000 0.0000 0.0000
Hg 0.0781 0.9219 0.5000
Hg 0.2782 0.7218 0.0000
Hg 0.4269 0.5731 0.0000
Hg 0.5731 0.4269 0.0000
Hg 0.7218 0.2782 0.0000
Hg 0.9219 0.0781 0.5000

Properties
* total magnetization: 2.23 μB/cell
* formation energy: -241.3 meV per atom
* total energy: -0.18792 Ry per atom
* theoretical density: 10.80 Mg/m³
* crystal system: orthorhombic

No. 2
The following is a DFT calculation (PBE-GGA) of a relaxed structure of CeDyHg.

abc: 3.5822 3.5822 13.3040
angles: 90.00 90.00 90.00
Fractional coordinates of all 6 atoms:
Ce 0.0000 0.0000 0.0000
Ce 0.5000 0.5000 0.5000
Dy 0.0000 0.0000 0.3102
Dy 0.5000 0.5000 0.8102
Hg 0.0000 0.0000 0.6651
Hg 0.5000 0.5000 0.1651

Properties
* total magnetization: 2.28 μB/cell
* formation energy: -204.6 meV per atom
* total energy: -0.28056 Ry per atom
* theoretical density: 9.79 Mg/m³
* crystal system: tetragonal
* energy relative to the lowest polymorph listed for this composition: 0.042 eV/atom

No. 3
The following is a DFT calculation (PBE-GGA) of a relaxed structure of CeDy2Hg4.

abc: 9.4143 9.4143 9.4143
angles: 30.57 30.57 30.57
Fractional coordinates of all 7 atoms:
Ce 0.0000 0.0000 0.0000
Dy 0.1245 0.1245 0.1245
Dy 0.8755 0.8755 0.8755
Hg 0.2471 0.2471 0.2471
Hg 0.3951 0.3951 0.3951
Hg 0.6049 0.6049 0.6049
Hg 0.7529 0.7529 0.7529

Properties
* total magnetization: 1.27 μB/cell
* formation energy: -256.7 meV per atom
* total energy: -0.19049 Ry per atom
* theoretical density: 11.00 Mg/m³
* crystal system: trigonal
* energy relative to the lowest polymorph listed for this composition: 0.012 eV/atom

No. 4
The following is a DFT calculation (PBE-GGA) of a relaxed structure of CeDy3Hg6.

abc: 9.2563 5.1922 11.2283
angles: 90.00 106.96 90.00
Fractional coordinates of all 20 atoms:
Ce 0.0668 0.2500 0.3838
Ce 0.9332 0.7500 0.6162
Dy 0.2309 0.2500 0.0047
Dy 0.3521 0.7500 0.8045
Dy 0.4886 0.2500 0.6128
Dy 0.5114 0.7500 0.3872
Dy 0.6479 0.2500 0.1955
Dy 0.7691 0.7500 0.9953
Hg 0.0630 0.7500 0.9091
Hg 0.1427 0.7500 0.2069
Hg 0.1740 0.2500 0.6910
Hg 0.2516 0.7500 0.5196
Hg 0.3585 0.2500 0.2920
Hg 0.4654 0.7500 0.0932
Hg 0.5346 0.2500 0.9068
Hg 0.6415 0.7500 0.7080
Hg 0.7484 0.2500 0.4804
Hg 0.8260 0.7500 0.3090
Hg 0.8573 0.2500 0.7931
Hg 0.9370 0.2500 0.0909

Properties
* total magnetization: 2.16 μB/cell
* formation energy: -394.2 meV per atom
* total energy: -0.18737 Ry per atom
* theoretical density: 11.78 Mg/m³
* crystal system: monoclinic

No. 5
The following is a DFT calculation (PBE-GGA) of a relaxed structure of CeDy5Hg3.

abc: 9.1396 9.1396 6.8348
angles: 90.00 90.00 120.00
Fractional coordinates of all 18 atoms:
Ce 0.0000 0.0000 0.0000
Ce 0.0000 0.0000 0.5000
Dy 0.0000 0.3253 0.2500
Dy 0.0000 0.6747 0.7500
Dy 0.3253 0.0000 0.2500
Dy 0.3253 0.3253 0.7500
Dy 0.3333 0.6667 0.0000
Dy 0.3333 0.6667 0.5000
Dy 0.6667 0.3333 0.0000
Dy 0.6667 0.3333 0.5000
Dy 0.6747 0.0000 0.7500
Dy 0.6747 0.6747 0.2500
Hg 0.0000 0.3449 0.7500
Hg 0.0000 0.6551 0.2500
Hg 0.3449 0.0000 0.7500
Hg 0.3449 0.3449 0.2500
Hg 0.6551 0.0000 0.2500
Hg 0.6551 0.6551 0.7500

Properties
* total magnetization: 4.05 μB/cell
* formation energy: -266.2 meV per atom
* total energy: -0.26334 Ry per atom
* theoretical density: 10.44 Mg/m³
* crystal system: hexagonal

No. 6
The following is a DFT calculation (PBE-GGA) of a relaxed structure of CeDy3Hg2.

abc: 3.2872 3.2872 17.3863
angles: 90.00 90.00 90.00
Fractional coordinates of all 6 atoms:
Ce 0.0000 0.0000 0.0000
Dy 0.5000 0.5000 0.3000
Dy 0.5000 0.5000 0.5000
Dy 0.5000 0.5000 0.7000
Hg 0.0000 0.0000 0.1797
Hg 0.0000 0.0000 0.8203

Properties
* total magnetization: 1.79 μB/cell
* formation energy: 298.8 meV per atom
* total energy: -0.22724 Ry per atom
* theoretical density: 9.09 Mg/m³
* crystal system: tetragonal

No. 7
The following is a DFT calculation (PBE-GGA) of a relaxed structure of CeDy4Hg4.

abc: 9.5423 9.5423 5.5521
angles: 90.00 90.00 90.00
Fractional coordinates of all 18 atoms:
Ce 0.2500 0.2500 0.2500
Ce 0.7500 0.7500 0.7500
Dy 0.0985 0.8368 0.6657
Dy 0.1632 0.5985 0.1657
Dy 0.3368 0.9015 0.1657
Dy 0.4015 0.6632 0.6657
Dy 0.5985 0.3368 0.3343
Dy 0.6632 0.0985 0.8343
Dy 0.8368 0.4015 0.8343
Dy 0.9015 0.1632 0.3343
Hg 0.0410 0.1445 0.8338
Hg 0.1445 0.4590 0.6662
Hg 0.3555 0.0410 0.6662
Hg 0.4590 0.3555 0.8338
Hg 0.5410 0.6445 0.1662
Hg 0.6445 0.9590 0.3338
Hg 0.8555 0.5410 0.3338
Hg 0.9590 0.8555 0.1662

Properties
* total magnetization: 2.48 μB/cell
* formation energy: -203.6 meV per atom
* total energy: -0.22362 Ry per atom
* theoretical density: 10.46 Mg/m³
* crystal system: tetragonal

No. 8
The following is a DFT calculation (PBE-GGA) of a relaxed structure of CeDy2Hg5.

abc: 5.2787 5.2787 14.6643
angles: 90.00 90.00 90.00
Fractional coordinates of all 16 atoms:
Ce 0.0000 0.0000 0.0000
Ce 0.5000 0.5000 0.5000
Dy 0.0000 0.0000 0.2678
Dy 0.0000 0.0000 0.7322
Dy 0.5000 0.5000 0.2322
Dy 0.5000 0.5000 0.7678
Hg 0.0000 0.0000 0.5000
Hg 0.0000 0.5000 0.1282
Hg 0.0000 0.5000 0.3718
Hg 0.0000 0.5000 0.6282
Hg 0.0000 0.5000 0.8718
Hg 0.5000 0.0000 0.1282
Hg 0.5000 0.0000 0.3718
Hg 0.5000 0.0000 0.6282
Hg 0.5000 0.0000 0.8718
Hg 0.5000 0.5000 0.0000

Properties
* total magnetization: 2.15 μB/cell
* formation energy: -397.5 meV per atom
* total energy: -0.18216 Ry per atom
* theoretical density: 11.93 Mg/m³
* crystal system: tetragonal

No. 9
The following is a DFT calculation (PBE-GGA) of a relaxed structure of CeDyHg.

abc: 5.3145 5.3145 3.1156
angles: 90.00 90.00 120.00
Fractional coordinates of all 3 atoms:
Ce 0.0000 0.0000 0.0000
Dy 0.6667 0.3333 0.0000
Hg 0.3333 0.6667 0.5000

Properties
* total magnetization: 1.12 μB/cell
* formation energy: 5.0 meV per atom
* total energy: -0.26515 Ry per atom
* theoretical density: 10.96 Mg/m³
* crystal system: hexagonal
* energy relative to the lowest polymorph listed for this composition: 0.251 eV/atom

No. 10
The following is a DFT calculation (PBE-GGA) of a relaxed structure of CeDyInHg.

abc: 7.6098 7.6098 7.6098
angles: 90.00 90.00 90.00
Fractional coordinates of all 16 atoms:
Ce 0.0000 0.0000 0.0000
Ce 0.0000 0.5000 0.5000
Ce 0.5000 0.0000 0.5000
Ce 0.5000 0.5000 0.0000
Dy 0.0000 0.0000 0.5000
Dy 0.0000 0.5000 0.0000
Dy 0.5000 0.0000 0.0000
Dy 0.5000 0.5000 0.5000
In 0.2500 0.2500 0.7500
In 0.2500 0.7500 0.2500
In 0.7500 0.2500 0.2500
In 0.7500 0.7500 0.7500
Hg 0.2500 0.2500 0.2500
Hg 0.2500 0.7500 0.7500
Hg 0.7500 0.2500 0.7500
Hg 0.7500 0.7500 0.2500

Properties
* total magnetization: 5.83 μB/cell
* formation energy: -376.6 meV per atom
* total energy: -0.27714 Ry per atom
* theoretical density: 9.32 Mg/m³
* crystal system: cubic

No. 11
The following is a DFT calculation (PBE-GGA) of a relaxed structure of LaCeDyHg.

abc: 7.6958 7.6958 7.6958
angles: 90.00 90.00 90.00
Fractional coordinates of all 16 atoms:
La 0.0000 0.0000 0.0000
La 0.0000 0.5000 0.5000
La 0.5000 0.0000 0.5000
La 0.5000 0.5000 0.0000
Ce 0.2500 0.2500 0.7500
Ce 0.2500 0.7500 0.2500
Ce 0.7500 0.2500 0.2500
Ce 0.7500 0.7500 0.7500
Dy 0.0000 0.0000 0.5000
Dy 0.0000 0.5000 0.0000
Dy 0.5000 0.0000 0.0000
Dy 0.5000 0.5000 0.5000
Hg 0.2500 0.2500 0.2500
Hg 0.2500 0.7500 0.7500
Hg 0.7500 0.2500 0.7500
Hg 0.7500 0.7500 0.2500

Properties
* total magnetization: 11.46 μB/cell
* formation energy: -15.2 meV per atom
* total energy: -0.29080 Ry per atom
* theoretical density: 9.36 Mg/m³
* crystal system: cubic

No. 12
The following is a DFT calculation (PBE-GGA) of a relaxed structure of LiCeDyHg.

abc: 7.4827 7.4827 7.4827
angles: 90.00 90.00 90.00
Fractional coordinates of all 16 atoms:
Li 0.0000 0.0000 0.0000
Li 0.0000 0.5000 0.5000
Li 0.5000 0.0000 0.5000
Li 0.5000 0.5000 0.0000
Ce 0.2500 0.2500 0.2500
Ce 0.2500 0.7500 0.7500
Ce 0.7500 0.2500 0.7500
Ce 0.7500 0.7500 0.2500
Dy 0.2500 0.2500 0.7500
Dy 0.2500 0.7500 0.2500
Dy 0.7500 0.2500 0.2500
Dy 0.7500 0.7500 0.7500
Hg 0.0000 0.0000 0.5000
Hg 0.0000 0.5000 0.0000
Hg 0.5000 0.0000 0.0000
Hg 0.5000 0.5000 0.5000

Properties
* total magnetization: 5.63 μB/cell
* formation energy: -92.4 meV per atom
* total energy: -0.24110 Ry per atom
* theoretical density: 8.09 Mg/m³
* crystal system: cubic

No. 13
The following is a DFT calculation (PBE-GGA) of a relaxed structure of Li2CeDyHg4.

abc: 8.8156 8.8156 8.8156
angles: 33.55 33.55 33.55
Fractional coordinates of all 8 atoms:
Li 0.2487 0.2487 0.2487
Li 0.7513 0.7513 0.7513
Ce 0.0000 0.0000 0.0000
Dy 0.5000 0.5000 0.5000
Hg 0.1272 0.1272 0.1272
Hg 0.3773 0.3773 0.3773
Hg 0.6227 0.6227 0.6227
Hg 0.8728 0.8728 0.8728

Properties
* total magnetization: 0.85 μB/cell
* formation energy: -393.1 meV per atom
* total energy: -0.17194 Ry per atom
* theoretical density: 9.97 Mg/m³
* crystal system: trigonal

No. 14
The following is a DFT calculation (PBE-GGA) of a relaxed structure of CeDyMg2Hg2.

abc: 5.0567 5.0567 6.6090
angles: 90.00 90.00 120.00
Fractional coordinates of all 6 atoms:
Ce 0.0000 0.0000 0.0000
Dy 0.0000 0.0000 0.5000
Mg 0.3333 0.6667 0.7455
Mg 0.6667 0.3333 0.2545
Hg 0.3333 0.6667 0.2493
Hg 0.6667 0.3333 0.7507

Properties
* total magnetization: 1.05 μB/cell
* formation energy: -297.1 meV per atom
* total energy: -0.19736 Ry per atom
* theoretical density: 8.54 Mg/m³
* crystal system: trigonal

No. 15
The following is a DFT calculation (PBE-GGA) of a relaxed structure of CeDy2MgHg4.

abc: 9.3681 9.3681 9.3681
angles: 31.87 31.87 31.87
Fractional coordinates of all 8 atoms:
Ce 0.0000 0.0000 0.0000
Dy 0.2434 0.2434 0.2434
Dy 0.7566 0.7566 0.7566
Mg 0.5000 0.5000 0.5000
Hg 0.1263 0.1263 0.1263
Hg 0.3798 0.3798 0.3798
Hg 0.6202 0.6202 0.6202
Hg 0.8737 0.8737 0.8737

Properties
* total magnetization: 1.26 μB/cell
* formation energy: -393.6 meV per atom
* total energy: -0.19375 Ry per atom
* theoretical density: 10.54 Mg/m³
* crystal system: trigonal

No. 16
The following is a DFT calculation (PBE-GGA) of a relaxed structure of CeDy2HgN.

abc: 4.8393 4.8393 4.8298
angles: 90.00 90.00 90.00
Fractional coordinates of all 5 atoms:
Ce 0.0000 0.0000 0.0000
Dy 0.0000 0.5000 0.5000
Dy 0.5000 0.0000 0.5000
Hg 0.5000 0.5000 0.0000
N 0.0000 0.0000 0.5000

Properties
* total magnetization: 0.49 μB/cell
* formation energy (no corrections): -0.828 eV/atom
* total energy: -0.41017 Ry per atom
* theoretical density: 9.98 Mg/m³
* crystal system: tetragonal

No. 17
The following is a DFT calculation (PBE-GGA) of a relaxed structure of CeNdDy2Hg4.

abc: 9.2647 9.2647 9.2647
angles: 33.57 33.57 33.57
Fractional coordinates of all 8 atoms:
Ce 0.0000 0.0000 0.0000
Nd 0.5000 0.5000 0.5000
Dy 0.2508 0.2508 0.2508
Dy 0.7492 0.7492 0.7492
Hg 0.1250 0.1250 0.1250
Hg 0.3751 0.3751 0.3751
Hg 0.6249 0.6249 0.6249
Hg 0.8750 0.8750 0.8750

Properties
* total magnetization: 2.19 μB/cell
* formation energy: -419.2 meV per atom
* total energy: -0.22478 Ry per atom
* theoretical density: 10.83 Mg/m³
* crystal system: trigonal

No. 18
The following is a DFT calculation (PBE-GGA) of a relaxed structure of CeNdDyHg.

abc: 7.6372 7.6372 7.6372
angles: 90.00 90.00 90.00
Fractional coordinates of all 16 atoms:
Ce 0.0000 0.0000 0.0000
Ce 0.0000 0.5000 0.5000
Ce 0.5000 0.0000 0.5000
Ce 0.5000 0.5000 0.0000
Nd 0.2500 0.2500 0.7500
Nd 0.2500 0.7500 0.2500
Nd 0.7500 0.2500 0.2500
Nd 0.7500 0.7500 0.7500
Dy 0.2500 0.2500 0.2500
Dy 0.2500 0.7500 0.7500
Dy 0.7500 0.2500 0.7500
Dy 0.7500 0.7500 0.2500
Hg 0.0000 0.0000 0.5000
Hg 0.0000 0.5000 0.0000
Hg 0.5000 0.0000 0.0000
Hg 0.5000 0.5000 0.5000

Properties
* total magnetization: 10.00 μB/cell
* formation energy: 4.3 meV per atom
* total energy: -0.28643 Ry per atom
* theoretical density: 9.65 Mg/m³
* crystal system: cubic

No. 19
The following is a DFT calculation (PBE-GGA) of a relaxed structure of CeDyHgPb.

abc: 5.0822 5.0822 8.6270
angles: 90.00 90.00 90.00
Fractional coordinates of all 8 atoms:
Ce 0.0000 0.0000 0.0000
Ce 0.5000 0.5000 0.5000
Dy 0.0000 0.0000 0.5000
Dy 0.5000 0.5000 0.0000
Hg 0.0000 0.5000 0.2500
Hg 0.5000 0.0000 0.7500
Pb 0.0000 0.5000 0.7500
Pb 0.5000 0.0000 0.2500

Properties
* total magnetization: 2.96 μB/cell
* formation energy: -394.9 meV per atom
* total energy: -0.29630 Ry per atom
* theoretical density: 10.59 Mg/m³
* crystal system: tetragonal

No. 20
The following is a DFT calculation (PBE-GGA) of a relaxed structure of CeDyHgPb.

abc: 7.6620 7.6620 7.6620
angles: 90.00 90.00 90.00
Fractional coordinates of all 16 atoms:
Ce 0.0000 0.0000 0.0000
Ce 0.0000 0.5000 0.5000
Ce 0.5000 0.0000 0.5000
Ce 0.5000 0.5000 0.0000
Dy 0.0000 0.0000 0.5000
Dy 0.0000 0.5000 0.0000
Dy 0.5000 0.0000 0.0000
Dy 0.5000 0.5000 0.5000
Hg 0.2500 0.2500 0.2500
Hg 0.2500 0.7500 0.7500
Hg 0.7500 0.2500 0.7500
Hg 0.7500 0.7500 0.2500
Pb 0.2500 0.2500 0.7500
Pb 0.2500 0.7500 0.2500
Pb 0.7500 0.2500 0.2500
Pb 0.7500 0.7500 0.7500

Properties
* total magnetization: 5.70 μB/cell
* formation energy: -394.0 meV per atom
* total energy: -0.29624 Ry per atom
* theoretical density: 10.49 Mg/m³
* crystal system: cubic